# GGA-PBE Rb2NbMoBr6, optimized geometry
# Formation energy (no corrections) = -0.68 eV/atom
# Space-group type = I4/mmm (139)
# Calculated density = 4.6 g/cm3
# DOS(E_F) = 18.26 states/eV/cell
# E = -39.70 eV per cell
data_Rb2NbMoBr6
_cell_length_a 7.557
_cell_length_b 7.557
_cell_length_c 7.552
_cell_angle_alpha 59.98
_cell_angle_beta 59.98
_cell_angle_gamma 90.00
_space_group_name_H-M_alt 'P 1'
_space_group_IT_number 1
loop_
_space_group_symop_operation_xyz
'x,y,z'
loop_
_atom_site_label
_atom_site_fract_x
_atom_site_fract_y
_atom_site_fract_z
Br1 0.753 0.753 0.000
Rb1 0.250 0.750 0.500
Br2 0.247 0.247 0.000
Br3 0.247 0.247 0.506
Br4 0.753 0.753 0.494
Br5 0.247 0.753 0.000
Mo1 0.000 0.000 0.000
Rb2 0.750 0.250 0.500
Nb1 0.500 0.500 0.000
Br6 0.753 0.247 0.000